# 1
# TaTiW

An optimized crystal structure of TaTiW (GGA-PBE, Alexandria via LeMat-Bulk).

Lattice parameters (Å, degrees): 3.2192 3.2192 9.7976 90.00 90.00 90.00
With the nearest neighbours (Å) after each atom.
Atoms (fractional coordinates):
Ta (0.2500, 0.2500, 0.0832)  4 Ta 2.80, 4 Ti 2.85
Ta (0.7500, 0.7500, 0.9168)  4 Ta 2.80, 4 Ti 2.85
Ti (0.2500, 0.2500, 0.7413)  5 W 2.80-3.11, 4 Ta 2.85
Ti (0.7500, 0.7500, 0.2587)  5 W 2.80-3.11, 4 Ta 2.85
W (0.2500, 0.2500, 0.4243)  4 W 2.72, 4 Ti 2.80
W (0.7500, 0.7500, 0.5757)  4 W 2.72, 4 Ti 2.80

Computed properties:
energy = -32.63 eV per formula unit
D(E_F) = 8.31 states/eV/cell
energy of formation = 24.0 meV/atom
SG = P4/nmm

=====

# 2
# Ta2TiW5

An optimized crystal structure of Ta2TiW5 (GGA-PBE, Alexandria via LeMat-Bulk).

Lattice parameters (Å, degrees): 5.5568 5.5568 5.5568 109.51 109.51 109.39
With the nearest neighbours (Å) after each atom.
Atoms (fractional coordinates):
Ta (0.0000, 0.5000, 0.5000)  8 W 2.78
Ta (0.5000, 0.0000, 0.5000)  8 W 2.78
Ti (0.0000, 0.0000, 0.0000)  8 W 2.78
W (0.0000, 0.0000, 0.5000)  2 W 2.78, 4 Ta 2.78, 2 Ti 2.78
W (0.0000, 0.5000, 0.0000)  2 W 2.78, 4 Ta 2.78, 2 Ti 2.78
W (0.5000, 0.0000, 0.0000)  2 W 2.78, 4 Ta 2.78, 2 Ti 2.78
W (0.5000, 0.5000, 0.0000)  8 W 2.78
W (0.5000, 0.5000, 0.5000)  2 W 2.78, 4 Ta 2.78, 2 Ti 2.78

Computed properties:
energy = -96.93 eV per formula unit
D(E_F) = 10.11 states/eV/cell
energy of formation = -70.7 meV/atom
SG = I4/mmm

=====

# 3
# Ta2TiW3

An optimized crystal structure of Ta2TiW3 (GGA-PBE, Alexandria via LeMat-Bulk).

Lattice parameters (Å, degrees): 3.2262 3.2262 9.6351 90.00 90.00 90.00
With the nearest neighbours (Å) after each atom.
Atoms (fractional coordinates):
Ta (0.0000, 0.0000, 0.1692)  8 W 2.79-2.80
Ta (0.0000, 0.0000, 0.8308)  8 W 2.79-2.80
Ti (0.0000, 0.0000, 0.5000)  8 W 2.77
W (0.5000, 0.5000, 0.0000)  8 Ta 2.80
W (0.5000, 0.5000, 0.3366)  4 Ti 2.77, 4 Ta 2.79
W (0.5000, 0.5000, 0.6634)  4 Ti 2.77, 4 Ta 2.79

Computed properties:
energy = -70.68 eV per formula unit
D(E_F) = 6.48 states/eV/cell
energy of formation = -37.2 meV/atom
SG = P4/mmm

=====

# 4
# TaTiW3

An optimized crystal structure of TaTiW3 (GGA-PBE, Alexandria via LeMat-Bulk).

Lattice parameters (Å, degrees): 6.9728 6.9728 5.5564 97.45 97.45 38.05
With the nearest neighbours (Å) after each atom.
Atoms (fractional coordinates):
Ta (0.0000, 0.0000, 0.0000)  8 W 2.77-2.84
Ta (0.6000, 0.6000, 0.6999)  7 W 2.78-2.82, 1 Ti 2.83
Ti (0.1970, 0.1970, 0.3993)  6 W 2.75-2.82, 2 Ti 2.83
Ti (0.8049, 0.8049, 0.6038)  5 W 2.69-2.81, 1 Ta 2.83, 2 Ti 2.83
W (0.2055, 0.2055, 0.9013)  3 W 2.66-2.74, 2 Ti 2.78, 3 Ta 2.82-2.84
W (0.3968, 0.3968, 0.8009)  3 W 2.66-2.79, 2 Ti 2.73, 3 Ta 2.80-2.81
W (0.4015, 0.4015, 0.3037)  7 W 2.75-2.81, 1 Ti 2.82
W (0.6023, 0.6023, 0.2011)  2 W 2.68-2.78, 2 Ti 2.75, 4 Ta 2.78-2.80
W (0.7963, 0.7963, 0.1056)  5 W 2.68-2.81, 2 Ti 2.75-2.81, 1 Ta 2.83
W (0.9983, 0.9983, 0.4978)  2 Ti 2.69-2.75, 2 W 2.75, 4 Ta 2.77-2.79

Computed properties:
energy = -58.98 eV per formula unit
D(E_F) = 9.18 states/eV/cell
energy of formation = -74.5 meV/atom
SG = Cm

=====

# 5
# Ta3Ti2W

An optimized crystal structure of Ta3Ti2W (GGA-PBE, Alexandria via LeMat-Bulk).

Lattice parameters (Å, degrees): 5.4357 5.4364 7.2754 97.87 98.02 95.26
With the nearest neighbours (Å) after each atom.
Atoms (fractional coordinates):
Ta (0.1240, 0.2858, 0.0389)  2 W 2.77-2.79, 3 Ta 2.86-2.88, 3 Ti 2.90-2.95
Ta (0.3582, 0.2056, 0.4634)  2 W 2.75-2.79, 3 Ta 2.83-2.90, 3 Ti 2.84-2.89
Ta (0.3687, 0.5591, 0.7894)  1 W 2.73, 3 Ti 2.81-2.87, 4 Ta 2.83-2.88
Ta (0.6313, 0.4409, 0.2106)  1 W 2.73, 3 Ti 2.81-2.87, 4 Ta 2.83-2.88
Ta (0.6418, 0.7944, 0.5366)  2 W 2.75-2.79, 3 Ta 2.83-2.90, 3 Ti 2.84-2.89
Ta (0.8760, 0.7142, 0.9611)  2 W 2.77-2.79, 3 Ta 2.86-2.88, 3 Ti 2.90-2.95
Ti (0.1239, 0.6435, 0.3819)  2 W 2.75-2.77, 4 Ta 2.84-2.95, 2 Ti 2.85-2.86
Ti (0.3987, 0.8760, 0.1331)  1 W 2.71, 2 Ti 2.80-2.85, 5 Ta 2.81-2.94
Ti (0.6013, 0.1240, 0.8669)  1 W 2.71, 2 Ti 2.80-2.85, 5 Ta 2.81-2.94
Ti (0.8761, 0.3565, 0.6181)  2 W 2.75-2.77, 4 Ta 2.84-2.95, 2 Ti 2.85-2.86
W (0.1217, 0.9566, 0.7129)  3 Ti 2.71-2.77, 5 Ta 2.73-2.79
W (0.8783, 0.0434, 0.2871)  3 Ti 2.71-2.77, 5 Ta 2.73-2.79

Computed properties:
energy = -64.37 eV per formula unit
D(E_F) = 17.49 states/eV/cell
energy of formation = -11.5 meV/atom
SG = P-1

=====

# 6
# TaTiW2

An optimized crystal structure of TaTiW2 (GGA-PBE, Alexandria via LeMat-Bulk).

Lattice parameters (Å, degrees): 2.7897 4.5228 5.3453 90.00 99.65 90.00
With the nearest neighbours (Å) after each atom.
Atoms (fractional coordinates):
Ta (0.0000, 0.0000, 0.0000)  4 W 2.78, 2 Ta 2.79, 2 Ti 2.80
Ti (0.5000, 0.0000, 0.5000)  4 W 2.77, 2 Ti 2.79, 2 Ta 2.80
W (0.2440, 0.5000, 0.7462)  4 W 2.75-2.85, 2 Ti 2.77, 2 Ta 2.78
W (0.7560, 0.5000, 0.2538)  4 W 2.75-2.85, 2 Ti 2.77, 2 Ta 2.78

Computed properties:
energy = -45.79 eV per formula unit
D(E_F) = 5.45 states/eV/cell
energy of formation = -34.0 meV/atom
SG = P2/m

=====

# 7
# Ta3TiW

An optimized crystal structure of Ta3TiW (GGA-PBE, Alexandria via LeMat-Bulk).

Lattice parameters (Å, degrees): 4.8507 4.8507 4.8507 90.00 90.00 90.00
With the nearest neighbours (Å) after each atom.
Atoms (fractional coordinates):
Ta (0.0000, 0.0000, 0.5000)  2 W 2.43
Ta (0.0000, 0.5000, 0.0000)  2 W 2.43
Ta (0.5000, 0.0000, 0.0000)  2 W 2.43
Ti (0.5000, 0.5000, 0.5000)  12 Ta 3.43
W (0.0000, 0.0000, 0.0000)  6 Ta 2.43

Computed properties:
energy = -48.99 eV per formula unit
D(E_F) = 5.18 states/eV/cell
energy of formation = 1483.5 meV/atom
SG = Pm-3m

=====

# 8
# TaTiW

An optimized crystal structure of TaTiW (GGA-PBE, Alexandria via LeMat-Bulk).

Lattice parameters (Å, degrees): 4.5508 4.5508 2.8370 90.00 90.00 120.00
With the nearest neighbours (Å) after each atom.
Atoms (fractional coordinates):
Ta (0.0000, 0.0000, 0.0000)  3 W 2.76, 2 Ta 2.84, 3 Ti 2.85
Ti (0.6667, 0.3333, 0.3878)  3 W 2.77, 2 Ti 2.84, 3 Ta 2.85
W (0.3333, 0.6667, 0.7024)  3 Ta 2.76, 3 Ti 2.77, 2 W 2.84

Computed properties:
energy = -32.81 eV per formula unit
D(E_F) = 3.98 states/eV/cell
energy of formation = -38.0 meV/atom
SG = P3m1

=====

# 9
# Ta7Ti2W2

An optimized crystal structure of Ta7Ti2W2 (GGA-PBE, Alexandria via LeMat-Bulk).

Lattice parameters (Å, degrees): 5.3558 5.3558 7.8500 90.94 90.94 116.01
With the nearest neighbours (Å) after each atom.
Atoms (fractional coordinates):
Ta (0.0000, 0.0000, 0.0000)  2 W 2.84, 6 Ta 2.89-3.11
Ta (0.1347, 0.5872, 0.8390)  1 W 2.68, 1 Ti 2.82, 6 Ta 2.87-2.98
Ta (0.3242, 0.3242, 0.3265)  3 W 2.81-2.87, 2 Ti 2.90, 5 Ta 2.98-3.11
Ta (0.4128, 0.8653, 0.1610)  1 W 2.68, 1 Ti 2.82, 6 Ta 2.87-2.98
Ta (0.5872, 0.1347, 0.8390)  1 W 2.68, 1 Ti 2.82, 6 Ta 2.87-2.98
Ta (0.6758, 0.6758, 0.6735)  3 W 2.81-2.87, 2 Ti 2.90, 5 Ta 2.98-3.11
Ta (0.8653, 0.4128, 0.1610)  1 W 2.68, 1 Ti 2.82, 6 Ta 2.87-2.98
Ti (0.2383, 0.7617, 0.5000)  2 W 2.68, 4 Ta 2.82-2.90, 2 Ti 2.85
Ti (0.7617, 0.2383, 0.5000)  2 W 2.68, 4 Ta 2.82-2.90, 2 Ti 2.85
W (0.1705, 0.1705, 0.6642)  6 Ta 2.68-2.87, 2 Ti 2.68
W (0.8295, 0.8295, 0.3358)  6 Ta 2.68-2.87, 2 Ti 2.68

Computed properties:
energy = -122.58 eV per formula unit
D(E_F) = 13.41 states/eV/cell
energy of formation = 189.7 meV/atom
SG = C2/m

=====

# 10
# Ta4TiW3

An optimized crystal structure of Ta4TiW3 (GGA-PBE, Alexandria via LeMat-Bulk).

Lattice parameters (Å, degrees): 3.2466 4.5889 9.2044 90.00 90.00 90.00
With the nearest neighbours (Å) after each atom.
Atoms (fractional coordinates):
Ta (0.0000, 0.0000, 0.0000)  8 W 2.81-2.85
Ta (0.0000, 0.0000, 0.5000)  4 W 2.79, 4 Ti 2.81
Ta (0.0000, 0.5000, 0.2447)  6 W 2.78-2.81, 2 Ti 2.86
Ta (0.0000, 0.5000, 0.7553)  6 W 2.78-2.81, 2 Ti 2.86
Ti (0.5000, 0.5000, 0.5000)  8 Ta 2.81-2.86
W (0.5000, 0.0000, 0.2541)  8 Ta 2.79-2.85
W (0.5000, 0.0000, 0.7459)  8 Ta 2.79-2.85
W (0.5000, 0.5000, 0.0000)  8 Ta 2.78-2.81

Computed properties:
energy = -94.72 eV per formula unit
D(E_F) = 7.39 states/eV/cell
energy of formation = -69.1 meV/atom
SG = Pmmm

=====

# 11
# Ta2TiW6

An optimized crystal structure of Ta2TiW6 (GGA-PBE, Alexandria via LeMat-Bulk).

Lattice parameters (Å, degrees): 4.5737 5.5492 6.7625 82.67 70.30 90.00
With the nearest neighbours (Å) after each atom.
Atoms (fractional coordinates):
Ta (0.1044, 0.4797, 0.2912)  5 W 2.67-2.85, 1 Ta 2.70, 1 Ti 2.81
Ta (0.8956, 0.5203, 0.7088)  5 W 2.67-2.85, 1 Ta 2.70, 1 Ti 2.81
Ti (0.0000, 0.0000, 0.5000)  4 W 2.68, 2 Ta 2.81
W (0.2959, 0.3333, 0.9082)  3 Ta 2.67-2.75, 5 W 2.68-2.88
W (0.3023, 0.8535, 0.8941)  5 W 2.65-2.88
W (0.4997, 0.2522, 0.5002)  4 W 2.65-2.80, 2 Ti 2.68, 2 Ta 2.85
W (0.5003, 0.7478, 0.4998)  4 W 2.65-2.80, 2 Ti 2.68, 2 Ta 2.85
W (0.6977, 0.1465, 0.1059)  5 W 2.65-2.88
W (0.7041, 0.6667, 0.0918)  3 Ta 2.67-2.75, 5 W 2.68-2.88

Computed properties:
energy = -105.70 eV per formula unit
D(E_F) = 10.25 states/eV/cell
energy of formation = 401.7 meV/atom
SG = P-1

=====

# 12
# TaTiW3

An optimized crystal structure of TaTiW3 (GGA-PBE, Alexandria via LeMat-Bulk).

Lattice parameters (Å, degrees): 4.5527 4.5527 4.5527 90.00 90.00 90.00
With the nearest neighbours (Å) after each atom.
Atoms (fractional coordinates):
Ta (0.0000, 0.0000, 0.0000)  12 W 3.22
Ti (0.5000, 0.5000, 0.5000)  6 W 2.28
W (0.0000, 0.5000, 0.5000)  2 Ti 2.28
W (0.5000, 0.0000, 0.5000)  2 Ti 2.28
W (0.5000, 0.5000, 0.0000)  2 Ti 2.28

Computed properties:
energy = -49.88 eV per formula unit
D(E_F) = 8.03 states/eV/cell
energy of formation = 1745.4 meV/atom
SG = Pm-3m